The following is a DFT calculation (GGA+U) of a geometry-optimized W2CNF structure.

Computed properties:
final energy = -5.47 eV/atom

Lattice parameters (Å, degrees): 4.267 4.267 3.637 90.00 90.00 90.00
Atoms (fractional coordinates):
W  0.000  0.500  0.000
W  0.500  0.000  0.000
C  0.000  0.000  0.000
N  0.500  0.500  0.500
F  0.000  0.000  0.500